CuNi2PN | PBE-GGA | optimized geometry

```
CuNi2PN
1.0
3.716 0.000 0.000
0.000 3.716 0.000
0.000 0.000 4.073
Cu Ni P N
1 2 1 1
direct
0.000 0.000 0.000
0.000 0.500 0.500
0.500 0.000 0.500
0.500 0.500 0.000
0.500 0.500 0.500
```

Results
Formation energy (no corrections) in eV per atom: 0.32
VASP energy in eV/atom: -5.5592